! CsLiTe2N | the Alexandria database | GGA-PBE | optimized geometry; values from VASP
&SYSTEM
  ibrav = 0, nat = 5, ntyp = 4
/
ATOMIC_SPECIES
Cs 132.91 Cs.upf
Li 6.94 Li.upf
Te 127.60 Te.upf
N 14.01 N.upf
CELL_PARAMETERS angstrom
6.7011 0.0000 0.0000
0.0000 6.7011 0.0000
0.0000 0.0000 5.6138
ATOMIC_POSITIONS angstrom
Cs 0.0000 0.0000 0.0000
Li 3.3506 3.3506 2.8069
Te 0.0000 3.3506 0.0000
Te 3.3506 0.0000 0.0000
N 0.0000 0.0000 2.8069
! Final energy: -2.27 eV per atom
! Uncorrected formation energy: 1.208 eV/atom
! N(E_F): 1.319 states/eV/atom



! CsLiUN3 | the Alexandria database | GGA-PBE | optimized geometry; values from VASP
&SYSTEM
  ibrav = 0, nat = 12, ntyp = 4
/
ATOMIC_SPECIES
Cs 132.91 Cs.upf
Li 6.94 Li.upf
U 238.03 U.upf
N 14.01 N.upf
CELL_PARAMETERS angstrom
3.0877 -5.6187 0.0000
3.0877 5.6187 0.0000
0.0000 0.0000 6.2895
ATOMIC_POSITIONS angstrom
Cs 3.0877 3.0334 4.7171
Cs 3.0877 -3.0334 1.5724
Li 3.0877 4.7587 1.5724
Li 3.0877 -4.7587 4.7171
U 3.0877 0.6194 1.5724
U 3.0877 -0.6194 4.7171
N 3.0877 2.5764 1.5724
N 1.7492 0.0000 0.0000
N 1.7492 0.0000 3.1448
N 4.4262 0.0000 0.0000
N 4.4262 0.0000 3.1448
N 3.0877 -2.5764 4.7171
! Final energy: -6.98 eV per atom
! Uncorrected formation energy: -0.472 eV/atom
! N(E_F): 0.500 states/eV/atom



! Cs2NaLi2 | the Alexandria database | GGA-PBE | optimized geometry; values from VASP
&SYSTEM
  ibrav = 0, nat = 5, ntyp = 3
/
ATOMIC_SPECIES
Cs 132.91 Cs.upf
Na 22.99 Na.upf
Li 6.94 Li.upf
CELL_PARAMETERS angstrom
-2.2369 2.2369 13.3055
2.2369 -2.2369 13.3055
2.2369 2.2369 -13.3055
ATOMIC_POSITIONS angstrom
Cs 0.0000 0.0000 3.1441
Cs 0.0000 0.0000 23.4669
Na 0.0000 0.0000 13.3055
Li 2.2369 0.0000 6.6527
Li 0.0000 2.2369 6.6527
! Final energy: -1.22 eV per atom
! N(E_F): 0.768 states/eV/atom



! Cs2NaLi | the Alexandria database | GGA-PBE | optimized geometry; values from VASP
&SYSTEM
  ibrav = 0, nat = 4, ntyp = 3
/
ATOMIC_SPECIES
Cs 132.91 Cs.upf
Na 22.99 Na.upf
Li 6.94 Li.upf
CELL_PARAMETERS angstrom
0.0000 5.0887 5.0887
5.0887 0.0000 5.0887
5.0887 5.0887 0.0000
ATOMIC_POSITIONS angstrom
Cs 2.5443 2.5443 2.5443
Cs 7.6330 7.6330 7.6330
Na 0.0000 0.0000 0.0000
Li 5.0887 5.0887 5.0887
! Final energy: -1.10 eV per atom
! N(E_F): 0.660 states/eV/atom



! Cs2NaLi | the Alexandria database | GGA-PBE | optimized geometry; values from VASP
&SYSTEM
  ibrav = 0, nat = 4, ntyp = 3
/
ATOMIC_SPECIES
Cs 132.91 Cs.upf
Na 22.99 Na.upf
Li 6.94 Li.upf
CELL_PARAMETERS angstrom
5.0800 0.0000 0.0000
0.0000 5.0800 0.0000
0.0000 0.0000 10.2157
ATOMIC_POSITIONS angstrom
Cs 0.0000 0.0000 2.4546
Cs 0.0000 0.0000 7.7610
Na 2.5400 2.5400 5.1078
Li 2.5400 2.5400 0.0000
! Final energy: -1.11 eV per atom
! N(E_F): 0.518 states/eV/atom



! CsNaLi | the Alexandria database | GGA-PBE | optimized geometry; values from VASP
&SYSTEM
  ibrav = 0, nat = 12, ntyp = 3
/
ATOMIC_SPECIES
Cs 132.91 Cs.upf
Na 22.99 Na.upf
Li 6.94 Li.upf
CELL_PARAMETERS angstrom
13.3601 -2.7279 0.0000
13.3601 2.7279 0.0000
-1.3602 0.0000 9.4822
ATOMIC_POSITIONS angstrom
Cs 1.0994 0.0000 2.7668
Cs 10.0772 0.0000 1.1296
Cs 15.2827 0.0000 8.3526
Cs 24.2605 0.0000 6.7153
Na 3.9321 0.0000 5.7233
Na 5.6322 0.0000 2.3158
Na 19.7277 0.0000 7.1663
Na 21.4278 0.0000 3.7589
Li 5.3516 0.0000 8.6451
Li 7.0850 0.0000 5.4214
Li 18.2749 0.0000 4.0608
Li 20.0083 0.0000 0.8371
! Final energy: -1.27 eV per atom
! N(E_F): 0.598 states/eV/atom



! Cs2Na4Li | the Alexandria database | GGA-PBE | optimized geometry; values from VASP
&SYSTEM
  ibrav = 0, nat = 7, ntyp = 3
/
ATOMIC_SPECIES
Cs 132.91 Cs.upf
Na 22.99 Na.upf
Li 6.94 Li.upf
CELL_PARAMETERS angstrom
-3.0824 3.0824 10.7530
3.0824 -3.0824 10.7530
3.0824 3.0824 -10.7530
ATOMIC_POSITIONS angstrom
Cs 0.0000 0.0000 3.2356
Cs 0.0000 0.0000 18.2704
Na 3.0824 0.0000 0.0000
Na 0.0000 0.0000 7.7267
Na 0.0000 3.0824 0.0000
Na 0.0000 0.0000 13.7794
Li 0.0000 0.0000 10.7530
! Final energy: -1.17 eV per atom
! N(E_F): 0.487 states/eV/atom



! CsNa2Li2 | the Alexandria database | GGA-PBE | optimized geometry; values from VASP
&SYSTEM
  ibrav = 0, nat = 5, ntyp = 3
/
ATOMIC_SPECIES
Cs 132.91 Cs.upf
Na 22.99 Na.upf
Li 6.94 Li.upf
CELL_PARAMETERS angstrom
-2.8796 2.8796 6.6805
2.8796 -2.8796 6.6805
2.8796 2.8796 -6.6805
ATOMIC_POSITIONS angstrom
Cs 0.0000 0.0000 0.0000
Na 0.0000 0.0000 4.8443
Na 0.0000 0.0000 8.5168
Li 2.8796 0.0000 3.3403
Li 0.0000 2.8796 3.3403
! Final energy: -1.32 eV per atom
! N(E_F): 0.630 states/eV/atom



! Cs2Na15Li2 | the Alexandria database | GGA-PBE | optimized geometry; values from VASP
&SYSTEM
  ibrav = 0, nat = 19, ntyp = 3
/
ATOMIC_SPECIES
Cs 132.91 Cs.upf
Na 22.99 Na.upf
Li 6.94 Li.upf
CELL_PARAMETERS angstrom
6.2005 3.5799 6.0733
-6.2005 3.5799 6.0733
0.0000 -7.1597 6.0733
ATOMIC_POSITIONS angstrom
Cs 0.0000 0.0000 2.8798
Cs 0.0000 0.0000 15.3401
Na -3.1003 -1.7899 6.0733
Na 0.0000 -3.4496 5.7828
Na -2.9874 1.7248 5.7828
Na -1.7324 -3.0007 9.1099
Na -3.4649 0.0000 9.1099
Na -2.9874 -1.7248 12.4370
Na -3.1002 1.7899 12.1465
Na 1.7324 -3.0007 9.1099
Na 0.0000 3.5799 6.0733
Na -1.7324 3.0007 9.1099
Na 2.9874 1.7248 5.7828
Na 3.4649 0.0000 9.1099
Na 1.7324 3.0007 9.1099
Na 2.9874 -1.7248 12.4370
Na 0.0000 3.4496 12.4370
Li 0.0000 0.0000 7.5265
Li 0.0000 0.0000 10.6934
! Final energy: -1.29 eV per atom
! N(E_F): 0.649 states/eV/atom



! CsNa2Li | the Alexandria database | GGA-PBE | optimized geometry; values from VASP
&SYSTEM
  ibrav = 0, nat = 4, ntyp = 3
/
ATOMIC_SPECIES
Cs 132.91 Cs.upf
Na 22.99 Na.upf
Li 6.94 Li.upf
CELL_PARAMETERS angstrom
0.0000 4.5990 4.5990
4.5990 0.0000 4.5990
4.5990 4.5990 0.0000
ATOMIC_POSITIONS angstrom
Cs 0.0000 0.0000 0.0000
Na 2.2995 2.2995 2.2995
Na 6.8985 6.8985 6.8985
Li 4.5990 4.5990 4.5990
! Final energy: -1.20 eV per atom
! N(E_F): 0.820 states/eV/atom



! Cs2NaLi2 | the Alexandria database | GGA-PBE | optimized geometry; values from VASP
&SYSTEM
  ibrav = 0, nat = 10, ntyp = 3
/
ATOMIC_SPECIES
Cs 132.91 Cs.upf
Na 22.99 Na.upf
Li 6.94 Li.upf
CELL_PARAMETERS angstrom
9.2743 0.0000 0.0000
0.0000 9.2743 0.0000
0.0000 0.0000 6.4785
ATOMIC_POSITIONS angstrom
Cs 1.7044 2.9327 0.0000
Cs 2.9327 7.5699 0.0000
Cs 6.3416 1.7044 0.0000
Cs 7.5699 6.3416 0.0000
Na 0.0000 0.0000 3.2393
Na 4.6371 4.6371 3.2393
Li 1.0934 5.7305 3.2393
Li 3.5438 1.0934 3.2393
Li 5.7305 8.1809 3.2393
Li 8.1809 3.5438 3.2393
! Final energy: -1.21 eV per atom
! N(E_F): 0.717 states/eV/atom



! Cs2NaLi | the Alexandria database | GGA-PBE | optimized geometry; values from VASP
&SYSTEM
  ibrav = 0, nat = 8, ntyp = 3
/
ATOMIC_SPECIES
Cs 132.91 Cs.upf
Na 22.99 Na.upf
Li 6.94 Li.upf
CELL_PARAMETERS angstrom
-5.6265 5.6265 4.2526
5.6265 -5.6265 4.2526
5.6265 5.6265 -4.2526
ATOMIC_POSITIONS angstrom
Cs 8.4397 2.6451 -1.0631
Cs 2.6451 2.8132 1.0631
Cs -2.8132 2.9814 3.1894
Cs 2.9814 2.8132 5.3157
Na 5.6265 0.0000 2.1263
Na 0.0000 0.0000 4.2526
Li 0.0000 0.0000 0.0000
Li 0.0000 5.6265 2.1263
! Final energy: -1.03 eV per atom
! N(E_F): 0.772 states/eV/atom